NbGa3Ag, optimized geometry, DFT PBEsol; uncorrected energy = -20.48 eV/cell; E_form = 0.735 eV per atom
1.0
-3.7681 2.1808 -2.3308
-1.8050 -4.4299 -1.2267
-2.6326 -0.0840 4.1772
Nb Ga Ag
1 3 1
direct
0.0000 0.0000 0.0000 Nb
0.0000 0.0000 0.5000 Ga
0.0000 0.5000 0.0000 Ga
0.5000 0.0000 0.0000 Ga
0.5000 0.5000 0.5000 Ag